! SrYTc2, optimized geometry, DFT PBE-GGA; values from VASP
&SYSTEM
  ibrav = 0, nat = 4, ntyp = 3
/
ATOMIC_SPECIES
Sr 87.62 Sr.upf
Tc 98.00 Tc.upf
Y 88.91 Y.upf
CELL_PARAMETERS angstrom
-5.108 -2.318 3.249
-2.751 -5.215 2.695
0.819 -0.270 4.892
ATOMIC_POSITIONS angstrom
Sr -2.019 -2.167 2.741
Tc 0.433 -0.592 4.937
Tc -4.547 -5.238 8.040
Y -3.609 -3.975 5.428
! Final energy = -27.56 eV per cell
! Distance to the lowest polymorph of the same formula = 69 meV per atom
! Calculated volume = 26.6 Å³ per atom
! Crystal system = orthorhombic
! Space group = Imm2, No. 44
! ΔE_f = 0.329 eV per atom
! N(E_F) = 0.931 states/eV/atom